<P>
This record from Alexandria via LeMat-Bulk describes a geometry-optimized GaWS3 structure. The functional is GGA-PBE.

Calculated values
Volume ... 95.9 Å³/cell
Mass density ... 6.1 Mg/m³
Total magnetic moment ... 2.68 μB/f.u.

The structure in CIF format:
```
data_GaWS3
_chemical_formula_sum 'Ga1 W1 S3'
_space_group_name_H-M_alt 'P m -3 m'
_space_group_IT_number 221
_space_group_name_Hall '-P 4 2 3'
_cell_length_a 4.577
_cell_length_b 4.577
_cell_length_c 4.577
_cell_angle_alpha 90.00
_cell_angle_beta 90.00
_cell_angle_gamma 90.00
loop_
_atom_site_label
_atom_site_type_symbol
_atom_site_fract_x
_atom_site_fract_y
_atom_site_fract_z
Ga1 Ga 0.000 0.000 0.000
W1 W 0.500 0.500 0.500
S1 S 0.000 0.000 0.500
```

---

<Q>
This record from Alexandria via LeMat-Bulk describes a geometry-optimized GaWS3 structure. The functional is GGA-PBE.

Calculated values
Volume ... 106.2 Å³/cell
Mass density ... 5.5 Mg/m³
Total magnetic moment ... 0.00 μB/f.u.

The structure in CIF format:
```
data_GaWS3
_chemical_formula_sum 'Ga1 W1 S3'
_space_group_name_H-M_alt 'P m -3 m'
_space_group_IT_number 221
_space_group_name_Hall '-P 4 2 3'
_cell_length_a 4.735
_cell_length_b 4.735
_cell_length_c 4.735
_cell_angle_alpha 90.00
_cell_angle_beta 90.00
_cell_angle_gamma 90.00
loop_
_atom_site_label
_atom_site_type_symbol
_atom_site_fract_x
_atom_site_fract_y
_atom_site_fract_z
Ga1 Ga 0.000 0.000 0.000
W1 W 0.500 0.500 0.500
S1 S 0.000 0.500 0.500
```

---

Winner for stability: <Q>

---

<P>
This record from Alexandria via LeMat-Bulk describes a geometry-optimized Y2GaS structure. The functional is GGA-PBE.

Calculated values
Volume ... 362.6 Å³/cell
Mass density ... 5.1 Mg/m³
Total magnetic moment ... 0.00 μB/f.u.

The structure in CIF format:
```
data_Y2GaS
_chemical_formula_sum 'Y8 Ga4 S4'
_space_group_name_H-M_alt 'C m c m'
_space_group_IT_number 63
_space_group_name_Hall '-C 2c 2'
_cell_length_a 4.156
_cell_length_b 21.971
_cell_length_c 3.971
_cell_angle_alpha 90.00
_cell_angle_beta 90.00
_cell_angle_gamma 90.00
loop_
_atom_site_label
_atom_site_type_symbol
_atom_site_fract_x
_atom_site_fract_y
_atom_site_fract_z
Y1 Y 0.000 0.069 0.250
Y2 Y 0.000 0.317 0.250
Ga1 Ga 0.000 0.460 0.250
S1 S 0.000 0.192 0.250
```

---

<Q>
This record from Alexandria via LeMat-Bulk describes a geometry-optimized Y2GaS structure. The functional is GGA-PBE.

Calculated values
Volume ... 357.3 Å³/cell
Mass density ... 5.2 Mg/m³
Total magnetic moment ... 0.00 μB/f.u.

The structure in CIF format:
```
data_Y2GaS
_chemical_formula_sum 'Y8 Ga4 S4'
_space_group_name_H-M_alt 'F m -3 m'
_space_group_IT_number 225
_space_group_name_Hall '-F 4 2 3'
_cell_length_a 7.096
_cell_length_b 7.096
_cell_length_c 7.096
_cell_angle_alpha 90.00
_cell_angle_beta 90.00
_cell_angle_gamma 90.00
loop_
_atom_site_label
_atom_site_type_symbol
_atom_site_fract_x
_atom_site_fract_y
_atom_site_fract_z
Y1 Y 0.250 0.250 0.250
Ga1 Ga 0.000 0.000 0.000
S1 S 0.000 0.000 0.500
```

---

Winner for stability: <P>

---

<P>
This record from Alexandria via LeMat-Bulk describes a geometry-optimized Y2GaS structure. The functional is GGA-PBE.

Calculated values
Volume ... 281.2 Å³/cell
Mass density ... 5.0 Mg/m³
Total magnetic moment ... 0.00 μB/f.u.

The structure in CIF format:
```
data_Y2GaS
_chemical_formula_sum 'Y6 Ga3 S3'
_space_group_name_H-M_alt 'R -3 m'
_space_group_IT_number 166
_space_group_name_Hall '-R 3 2"'
_cell_length_a 3.8691
_cell_length_b 3.8691
_cell_length_c 21.6877
_cell_angle_alpha 90.00
_cell_angle_beta 90.00
_cell_angle_gamma 120.00
loop_
_atom_site_label
_atom_site_type_symbol
_atom_site_fract_x
_atom_site_fract_y
_atom_site_fract_z
Y1 Y 0.0000 0.0000 0.2440
Ga1 Ga 0.0000 0.0000 0.0000
S1 S 0.0000 0.0000 0.5000
```

---

<Q>
This record from Alexandria via LeMat-Bulk describes a geometry-optimized Y2GaS structure. The functional is GGA-PBE.

Calculated values
Volume ... 285.5 Å³/cell
Mass density ... 4.9 Mg/m³
Total magnetic moment ... 0.00 μB/f.u.

The structure in CIF format:
```
data_Y2GaS
_chemical_formula_sum 'Y6 Ga3 S3'
_space_group_name_H-M_alt 'R 3 m'
_space_group_IT_number 160
_space_group_name_Hall 'R 3 -2"'
_cell_length_a 3.7867
_cell_length_b 3.7867
_cell_length_c 22.9882
_cell_angle_alpha 90.00
_cell_angle_beta 90.00
_cell_angle_gamma 120.00
loop_
_atom_site_label
_atom_site_type_symbol
_atom_site_fract_x
_atom_site_fract_y
_atom_site_fract_z
Y1 Y 0.0000 0.0000 0.0000
Y2 Y 0.0000 0.0000 0.1882
Ga1 Ga 0.0000 0.0000 0.7610
S1 S 0.0000 0.0000 0.5925
```

---

<R>
This record from Alexandria via LeMat-Bulk describes a geometry-optimized Y2GaS structure. The functional is GGA-PBE.

Calculated values
Volume ... 398.0 Å³/cell
Mass density ... 4.7 Mg/m³
Total magnetic moment ... 0.00 μB/f.u.

The structure in CIF format:
```
data_Y2GaS
_chemical_formula_sum 'Y8 Ga4 S4'
_space_group_name_H-M_alt 'I -4 2 d'
_space_group_IT_number 122
_space_group_name_Hall 'I -4 2bw'
_cell_length_a 7.480
_cell_length_b 7.480
_cell_length_c 7.115
_cell_angle_alpha 90.00
_cell_angle_beta 90.00
_cell_angle_gamma 90.00
loop_
_atom_site_label
_atom_site_type_symbol
_atom_site_fract_x
_atom_site_fract_y
_atom_site_fract_z
Y1 Y 0.225 0.250 0.125
Ga1 Ga 0.000 0.000 0.500
S1 S 0.000 0.000 0.000
```

---

Winner for stability: <P>

---

<P>
This record from Alexandria via LeMat-Bulk describes a geometry-optimized ZnGa2S structure. The functional is GGA-PBE.

Calculated values
Volume ... 256.7 Å³/cell
Mass density ... 4.6 Mg/m³
Total magnetic moment ... 0.00 μB/f.u.

The structure in CIF format:
```
data_ZnGa2S
_chemical_formula_sum 'Zn3 Ga6 S3'
_space_group_name_H-M_alt 'R -3 m'
_space_group_IT_number 166
_space_group_name_Hall '-R 3 2"'
_cell_length_a 3.4627
_cell_length_b 3.4627
_cell_length_c 24.7191
_cell_angle_alpha 90.00
_cell_angle_beta 90.00
_cell_angle_gamma 120.00
loop_
_atom_site_label
_atom_site_type_symbol
_atom_site_fract_x
_atom_site_fract_y
_atom_site_fract_z
Zn1 Zn 0.0000 0.0000 0.0000
Ga1 Ga 0.0000 0.0000 0.1012
S1 S 0.0000 0.0000 0.5000
```

---

<Q>
This record from Alexandria via LeMat-Bulk describes a geometry-optimized ZnGa2S structure. The functional is GGA-PBE.

Calculated values
Volume ... 315.1 Å³/cell
Mass density ... 5.0 Mg/m³
Total magnetic moment ... 0.00 μB/f.u.

The structure in CIF format:
```
data_ZnGa2S
_chemical_formula_sum 'Zn4 Ga8 S4'
_space_group_name_H-M_alt 'F m -3 m'
_space_group_IT_number 225
_space_group_name_Hall '-F 4 2 3'
_cell_length_a 6.805
_cell_length_b 6.805
_cell_length_c 6.805
_cell_angle_alpha 90.00
_cell_angle_beta 90.00
_cell_angle_gamma 90.00
loop_
_atom_site_label
_atom_site_type_symbol
_atom_site_fract_x
_atom_site_fract_y
_atom_site_fract_z
Zn1 Zn 0.000 0.000 0.000
Ga1 Ga 0.250 0.250 0.250
S1 S 0.000 0.000 0.500
```

---

Winner for stability: <P>

---

<P>
This record from Alexandria via LeMat-Bulk describes a geometry-optimized Zn3GaS structure. The functional is GGA-PBE.

Calculated values
Volume ... 108.3 Å³/cell
Mass density ... 4.6 Mg/m³
Total magnetic moment ... 0.00 μB/f.u.

The structure in CIF format:
```
data_Zn3GaS
_chemical_formula_sum 'Zn3 Ga1 S1'
_space_group_name_H-M_alt 'P m -3 m'
_space_group_IT_number 221
_space_group_name_Hall '-P 4 2 3'
_cell_length_a 4.767
_cell_length_b 4.767
_cell_length_c 4.767
_cell_angle_alpha 90.00
_cell_angle_beta 90.00
_cell_angle_gamma 90.00
loop_
_atom_site_label
_atom_site_type_symbol
_atom_site_fract_x
_atom_site_fract_y
_atom_site_fract_z
Zn1 Zn 0.000 0.000 0.500
Ga1 Ga 0.500 0.500 0.500
S1 S 0.000 0.000 0.000
```

---

<Q>
This record from Alexandria via LeMat-Bulk describes a geometry-optimized Zn3GaS structure. The functional is GGA-PBE.

Calculated values
Volume ... 107.4 Å³/cell
Mass density ... 4.6 Mg/m³
Total magnetic moment ... 0.00 μB/f.u.

The structure in CIF format:
```
data_Zn3GaS
_chemical_formula_sum 'Zn3 Ga1 S1'
_space_group_name_H-M_alt 'P m -3 m'
_space_group_IT_number 221
_space_group_name_Hall '-P 4 2 3'
_cell_length_a 4.754
_cell_length_b 4.754
_cell_length_c 4.754
_cell_angle_alpha 90.00
_cell_angle_beta 90.00
_cell_angle_gamma 90.00
loop_
_atom_site_label
_atom_site_type_symbol
_atom_site_fract_x
_atom_site_fract_y
_atom_site_fract_z
Zn1 Zn 0.000 0.000 0.500
Ga1 Ga 0.000 0.000 0.000
S1 S 0.500 0.500 0.500
```

---

Winner for stability: <P>

---

<P>
This record from Alexandria via LeMat-Bulk describes a geometry-optimized ZrGa3S structure. The functional is GGA-PBE.

Calculated values
Volume ... 151.2 Å³/cell
Mass density ... 3.7 Mg/m³
Total magnetic moment ... 0.00 μB/f.u.

The structure in CIF format:
```
data_ZrGa3S
_chemical_formula_sum 'Zr1 Ga3 S1'
_space_group_name_H-M_alt 'P m -3 m'
_space_group_IT_number 221
_space_group_name_Hall '-P 4 2 3'
_cell_length_a 5.327
_cell_length_b 5.327
_cell_length_c 5.327
_cell_angle_alpha 90.00
_cell_angle_beta 90.00
_cell_angle_gamma 90.00
loop_
_atom_site_label
_atom_site_type_symbol
_atom_site_fract_x
_atom_site_fract_y
_atom_site_fract_z
Zr1 Zr 0.000 0.000 0.000
Ga1 Ga 0.000 0.000 0.500
S1 S 0.500 0.500 0.500
```

---

<Q>
This record from Alexandria via LeMat-Bulk describes a geometry-optimized ZrGa3S structure. The functional is GGA-PBE.

Calculated values
Volume ... 106.1 Å³/cell
Mass density ... 5.2 Mg/m³
Total magnetic moment ... 0.00 μB/f.u.

The structure in CIF format:
```
data_ZrGa3S
_chemical_formula_sum 'Zr1 Ga3 S1'
_space_group_name_H-M_alt 'P m -3 m'
_space_group_IT_number 221
_space_group_name_Hall '-P 4 2 3'
_cell_length_a 4.734
_cell_length_b 4.734
_cell_length_c 4.734
_cell_angle_alpha 90.00
_cell_angle_beta 90.00
_cell_angle_gamma 90.00
loop_
_atom_site_label
_atom_site_type_symbol
_atom_site_fract_x
_atom_site_fract_y
_atom_site_fract_z
Zr1 Zr 0.000 0.000 0.000
Ga1 Ga 0.000 0.500 0.500
S1 S 0.500 0.500 0.500
```

---

Winner for stability: <Q>